Here is a geometry-optimized Sm2CdPt9 structure from the Alexandria database. Energies are from PBE-GGA.

Geometry as POSCAR:
```
Sm2CdPt9
1.0
-0.2001 2.7603 -3.0818
-4.1051 0.2516 0.4919
1.5311 9.1507 8.0968
Cd Pt Sm
1 9 2
Direct
0.0000 0.0000 0.0000
0.5000 0.0000 0.8414
0.5000 0.5000 0.0000
0.0000 0.5000 0.5000
0.5000 0.0000 0.5000
0.0000 0.5000 0.8414
0.5000 0.5000 0.3292
0.5000 0.5000 0.6708
0.5000 0.0000 0.1586
0.0000 0.5000 0.1586
0.0000 0.0000 0.3291
0.0000 0.0000 0.6709
```

Summary:
Size of the total moment (μB per formula unit): 0.000
DOS(E_F) (states/eV per cell): 12.319
Formation enthalpy at 0 K (meV per atom): -671
Space-group type: P4/mmm (123)

Here is a geometry-optimized SmCdPt structure from the Alexandria database. Energies are from PBE-GGA.

Geometry as POSCAR:
```
SmCdPt
1.0
7.9551 0.0000 0.0000
0.0000 4.1607 0.0000
0.0000 0.0000 4.1607
Pt Cd Sm
2 2 2
Direct
0.7737 0.5000 0.0000
0.2263 0.0000 0.5000
0.5000 0.0000 0.0000
0.5000 0.5000 0.5000
0.1508 0.5000 0.0000
0.8492 0.0000 0.5000
```

Summary:
Size of the total moment (μB per formula unit): 0.000
DOS(E_F) (states/eV per cell): 3.749
Formation enthalpy at 0 K (meV per atom): -820
Space-group type: P4/nmm (129)

Here is a geometry-optimized Sm2CdPt structure from the Alexandria database. Energies are from PBE-GGA.

Geometry as POSCAR:
```
Sm2CdPt
1.0
-3.4494 -0.0312 1.2386
-0.6833 -3.0084 -1.9789
2.1106 -4.2749 5.7700
Sm Pt Cd
2 1 1
Direct
0.0000 0.0000 0.7760
0.0000 0.0000 0.2240
0.5000 0.5000 0.0000
0.5000 0.5000 0.5000
```

Summary:
Size of the total moment (μB per formula unit): 0.000
DOS(E_F) (states/eV per cell): 3.250
Relative energy among the computed polymorphs (meV per atom): 2
Formation enthalpy at 0 K (meV per atom): -723
Space-group type: P4/mmm (123)

Here is a geometry-optimized Sm7Cd2Pt2 structure from the Alexandria database. Energies are from PBE-GGA.

Geometry as POSCAR:
```
Sm7Cd2Pt2
1.0
6.9212 -0.0030 -0.8219
0.0027 7.2905 0.0037
-1.2515 -0.0022 6.8565
Cd Sm Pt
2 7 2
Direct
0.1720 0.5000 0.1720
0.8280 0.5000 0.8280
0.5003 0.7451 0.9998
0.4997 0.2549 0.0002
0.0000 0.0000 0.0000
0.5002 0.7506 0.4998
0.9998 0.2549 0.5003
0.0002 0.7451 0.4997
0.4998 0.2494 0.5002
0.2882 0.0000 0.7118
0.7118 0.0000 0.2882
```

Summary:
Size of the total moment (μB per formula unit): 0.000
DOS(E_F) (states/eV per cell): 10.721
Formation enthalpy at 0 K (meV per atom): -448
Space-group type: Cmmm (65)